CsVIO2: relaxed, PBE with a Hubbard U.

Cell lengths 4.367, 4.367, 7.570 Å; angles 90.00, 90.00, 90.00 degrees
Sites, in units of the cell vectors:
Cs (0.000, 0.000, 0.000)
V (0.500, 0.500, 0.500)
I (0.000, 0.000, 0.500)
O (0.000, 0.500, 0.000)
O (0.500, 0.000, 0.000)

The calculated total energy comes out at -0.2463 Ry per atom. The calculation puts the density of states at the Fermi level at 4.37 states/eV/cell. For the energy above the most stable polymorph in this dataset, the calculation gives 1.216 eV/atom.